Density functional theory data (PBE) for YTmTlAu after structural relaxation.

Its final energy is -4.76 eV/atom.

The structure belongs to space group P4mm (No. 99); the cell edges are 3.6102, 3.6102 and 7.6543 Å and the angles 90.00°, 90.00° and 90.00°. The distinct sites, in fractional coordinates, are Y at (0.0000, 0.0000, 0.0000), Tm at (0.0000, 0.0000, 0.4599), Tl at (0.5000, 0.5000, 0.7285) and Au at (0.5000, 0.5000, 0.2460).

=====

Density functional theory data (PBE) for CsNaZn2Pt after structural relaxation.

Its final energy is -2.32 eV/atom.

The structure belongs to space group P4/mmm (No. 123); the cell edges are 5.0624, 5.0624 and 5.5441 Å and the angles 90.00°, 90.00° and 90.00°. The distinct sites, in fractional coordinates, are Cs at (0.0000, 0.0000, 0.0000), Na at (0.5000, 0.5000, 0.0000), Zn at (0.0000, 0.5000, 0.5000) and Pt at (0.5000, 0.5000, 0.5000).

=====

Density functional theory data (PBE) for KTbEuSbO6 after structural relaxation.

The calculation puts the energy relative to the elements, uncorrected at -2269 meV per atom.

The structure belongs to space group F-43m (No. 216); the cell edges are 8.4171, 8.4171 and 8.4171 Å and the angles 90.00°, 90.00° and 90.00°. The distinct sites, in fractional coordinates, are K at (0.0000, 0.0000, 0.0000), Tb at (0.2500, 0.2500, 0.7500), Eu at (0.0000, 0.0000, 0.5000), Sb at (0.2500, 0.2500, 0.2500) and O at (0.0137, 0.2500, 0.2500).

=====

Density functional theory data (PBE) for ZrTc4Mo after structural relaxation.

Its final energy is -10.16 eV/atom.

The structure belongs to space group F-43m (No. 216); the cell edges are 7.3266, 7.3266 and 7.3266 Å and the angles 90.00°, 90.00° and 90.00°. The distinct sites, in fractional coordinates, are Zr at (0.0000, 0.0000, 0.0000), Tc at (0.1256, 0.1256, 0.3744) and Mo at (0.2500, 0.2500, 0.7500).

=====

Density functional theory data (PBE) for Ce2GeSb3Rh4 after structural relaxation.

The calculation puts the energy relative to the elements, uncorrected at -793 meV per atom.

The structure belongs to space group P-4m2 (No. 115); the cell edges are 4.4392, 4.4392 and 10.5018 Å and the angles 90.00°, 90.00° and 90.00°. The distinct sites, in fractional coordinates, are Ce at (0.0000, 0.5000, 0.2443), Ge at (0.5000, 0.5000, 0.0000), Sb at (0.0000, 0.0000, 0.0000), Sb at (0.0000, 0.5000, 0.6372), Rh at (0.0000, 0.0000, 0.5000), Rh at (0.0000, 0.5000, 0.8803) and Rh at (0.5000, 0.5000, 0.5000).

=====

Density functional theory data (PBE) for ZrCdIn2 after structural relaxation.

Its final energy is -3.77 eV/atom.

The structure belongs to space group R3m (No. 160, hexagonal axes); the cell edges are 3.2852, 3.2852 and 30.6908 Å and the angles 90.00°, 90.00° and 120.00°. The distinct sites, in fractional coordinates, are Zr at (0.0000, 0.0000, 0.0000), Cd at (0.0000, 0.0000, 0.7483), In at (0.0000, 0.0000, 0.2520) and In at (0.0000, 0.0000, 0.4986).

=====

| no. | density of states at the Fermi level (states/eV per cell) |
| --- | --- |
| 1 | 2.5 |
| 2 | 2.8 |
| 3 | 52.0 |
| 4 | 32.0 |
| 5 | 14.5 |
| 6 | 13.7 |